# LaScSb (PBE, optimized geometry)
# **E_tot**: -5.7224 eV per atom
# **Energy relative to the lowest polymorph listed for this composition**: 288.7 meV per atom
# **Symmetry**: P-6m2
# **Crystal system**: hexagonal
# **E_form (uncorrected)**: -595 meV/atom
# **DOS at the Fermi energy**: 4.5 states/eV/f.u.
data_LaScSb
_cell_length_a 4.949
_cell_length_b 4.949
_cell_length_c 4.158
_cell_angle_alpha 90.00
_cell_angle_beta 90.00
_cell_angle_gamma 120.00
_space_group_name_H-M_alt 'P 1'
_space_group_IT_number 1
_space_group_name_Hall 'P 1'
loop_
_atom_site_label
_atom_site_fract_x
_atom_site_fract_y
_atom_site_fract_z
_atom_site_occupancy
La1 0.000 0.000 0.000 1
Sc1 0.667 0.333 0.500 1
Sb1 0.333 0.667 0.500 1